No. 1
Density functional theory data (PBE) for a relaxed CsNa2HgAu crystal.

It has space group P4/mmm (No. 123), with a = 5.826 Å, b = 5.826 Å, c = 5.504 Å, α = 90.00°, β = 90.00° and γ = 90.00°. The inequivalent atoms are Cs at (0.000, 0.000, 0.000), Na at (0.000, 0.500, 0.500), Hg at (0.500, 0.500, 0.000) and Au at (0.500, 0.500, 0.500).

As for the formation energy: -169 meV per atom. For the density of states at the Fermi level, the calculation gives 2.42 states/eV/f.u. As for the crystal system: tetragonal. The calculation puts the total energy at -1.58 eV/atom.



No. 2
Density functional theory data (PBE) for a relaxed CsNaHg2Au2 crystal.

It has space group P-3m1 (No. 164), with a = 4.9518 Å, b = 4.9518 Å, c = 8.5910 Å, α = 90.00°, β = 90.00° and γ = 120.00°. The inequivalent atoms are Cs at (0.0000, 0.0000, 0.0000), Na at (0.0000, 0.0000, 0.5000), Hg at (0.3333, 0.6667, 0.3160) and Au at (0.3333, 0.6667, 0.6816).

As for the formation energy: -280 meV per atom. For the density of states at the Fermi level, the calculation gives 2.18 states/eV/f.u. As for the crystal system: trigonal. The calculation puts the total energy at -1.84 eV/atom.



No. 3
Density functional theory data (PBE) for a relaxed Cs6NaHgAu crystal.

It has space group P-31c (No. 163), with a = 9.6691 Å, b = 9.6691 Å, c = 17.6720 Å, α = 90.00°, β = 90.00° and γ = 120.00°. The inequivalent atoms are Cs at (0.0189, 0.3701, 0.1320), Na at (0.0000, 0.0000, 0.0000), Hg at (0.3333, 0.6667, 0.7500) and Au at (0.3333, 0.6667, 0.2500).

As for the formation energy: -93 meV per atom. For the density of states at the Fermi level, the calculation gives 9.58 states/eV/f.u. As for the crystal system: trigonal. The calculation puts the total energy at -1.21 eV/atom.



No. 4
Density functional theory data (PBE) for a relaxed Cs4HgAuO crystal.

It has space group P2_1/m (No. 11), with a = 8.698 Å, b = 8.522 Å, c = 10.767 Å, α = 90.00°, β = 107.69° and γ = 90.00°. The inequivalent atoms are Cs at (0.014, 0.011, 0.279), Cs at (0.390, 0.250, 0.153), Cs at (0.413, 0.250, 0.564), Hg at (0.256, 0.750, 0.057), Au at (0.234, 0.750, 0.559) and O at (0.220, 0.250, 0.322).

For the density of states at the Fermi level, the calculation gives 4.38 states/eV/f.u. As for the crystal system: monoclinic. The formation energy without anion corrections is -12.61 kcal/mol of atoms. The calculation puts the total energy at -2.25 eV/atom.



No. 5
Density functional theory data (PBE) for a relaxed Cs4Hg2AuO crystal.

It has space group Pmn2_1 (No. 31), with a = 8.563 Å, b = 13.905 Å, c = 7.049 Å, α = 90.00°, β = 90.00° and γ = 90.00°. The inequivalent atoms are Cs at (0.000, 0.012, 0.000), Cs at (0.000, 0.208, 0.546), Cs at (0.239, 0.710, 0.519), Hg at (0.188, 0.562, 0.019), Au at (0.000, 0.940, 0.504) and O at (0.000, 0.202, 0.922).

For the density of states at the Fermi level, the calculation gives 2.98 states/eV/f.u. As for the crystal system: orthorhombic. The formation energy without anion corrections is -11.38 kcal/mol of atoms. The calculation puts the total energy at -2.03 eV/atom.



No. 6
Density functional theory data (PBE) for a relaxed Cs6Hg2AuO crystal.

It has space group R-3m (No. 166, hexagonal axes), with a = 9.0411 Å, b = 9.0411 Å, c = 48.1659 Å, α = 90.00°, β = 90.00° and γ = 120.00°. The inequivalent atoms are Cs at (0.0266, 0.5133, 0.1316), Cs at (0.0325, 0.5162, 0.7027), Hg at (0.0000, 0.0000, 0.1184), Hg at (0.0000, 0.0000, 0.3065), Au at (0.0000, 0.0000, 0.4119), O at (0.0000, 0.0000, 0.0000) and O at (0.0000, 0.0000, 0.5000).

For the density of states at the Fermi level, the calculation gives 8.05 states/eV/f.u. As for the crystal system: trigonal. The formation energy without anion corrections is -9.40 kcal/mol of atoms. The calculation puts the total energy at -1.80 eV/atom.



No. 7
Density functional theory data (PBE) for a relaxed Cs7HgAu2O2 crystal.

It has space group Imm2 (No. 44), with a = 6.417 Å, b = 24.768 Å, c = 7.675 Å, α = 90.00°, β = 90.00° and γ = 90.00°. The inequivalent atoms are Cs at (0.000, 0.000, 0.000), Cs at (0.000, 0.096, 0.494), Cs at (0.000, 0.209, 0.925), Cs at (0.000, 0.389, 0.380), Hg at (0.000, 0.500, 0.838), Au at (0.000, 0.237, 0.416) and O at (0.000, 0.101, 0.831).

For the density of states at the Fermi level, the calculation gives 4.96 states/eV/f.u. As for the crystal system: orthorhombic. The formation energy without anion corrections is -12.95 kcal/mol of atoms. The calculation puts the total energy at -2.46 eV/atom.



No. 8
Density functional theory data (PBE) for a relaxed Cs5HgAu2O crystal.

It has space group Immm (No. 71), with a = 5.951 Å, b = 8.880 Å, c = 17.117 Å, α = 90.00°, β = 90.00° and γ = 90.00°. The inequivalent atoms are Cs at (0.000, 0.000, 0.000), Cs at (0.000, 0.278, 0.375), Hg at (0.000, 0.500, 0.000), Au at (0.000, 0.000, 0.209) and O at (0.000, 0.500, 0.500).

For the density of states at the Fermi level, the calculation gives 4.18 states/eV/f.u. As for the crystal system: orthorhombic. The formation energy without anion corrections is -11.18 kcal/mol of atoms. The calculation puts the total energy at -2.27 eV/atom.